Below is a relaxed structure of MgNbI2, with properties calculated at the GGA-PBE level.

Output
Total energy = -27.8 eV/cell
Polymorph energy (0 for the lowest one) = 0.0000 eV/atom

a b c (Å): 10.104 10.104 7.714
angles (deg): 49.09 49.09 90.00
Last column: magnetic moment on the atom in μB.
Sites, in units of the cell vectors:
I 0.769 0.125 0.250  0.01
I 0.981 0.625 0.250  0.00
I 0.375 0.231 0.750  0.01
I 0.875 0.019 0.750  0.00
Nb 0.000 0.000 0.000  1.89
Nb 0.750 0.250 0.500  1.89
Mg 0.500 0.500 0.000  0.00
Mg 0.250 0.750 0.500  0.00

Below is a relaxed structure of MgNb2I, with properties calculated at the GGA-PBE level.

Output
Total energy = -20.2 eV/cell
Polymorph energy (0 for the lowest one) = 0.1583 eV/atom

a b c (Å): 4.818 4.818 4.818
angles (deg): 60.00 60.00 60.00
Sites, in units of the cell vectors:
I 0.500 0.500 0.500
Nb 0.250 0.250 0.250
Nb 0.750 0.750 0.750
Mg 0.000 0.000 0.000

Below is a relaxed structure of Mg2NbI, with properties calculated at the GGA-PBE level.

Output
Total energy = -24.3 eV/cell
Polymorph energy (0 for the lowest one) = 0.0000 eV/atom

a b c (Å): 8.134 8.134 6.479
angles (deg): 51.12 51.12 90.00
Last column: magnetic moment on the atom in μB.
Sites, in units of the cell vectors:
I 0.000 0.000 0.000  0.02
I 0.750 0.250 0.500  0.02
Nb 0.500 0.500 0.000  1.16
Nb 0.250 0.750 0.500  1.16
Mg 0.625 0.125 0.250  0.00
Mg 0.125 0.625 0.250  0.00
Mg 0.375 0.375 0.750  0.00
Mg 0.875 0.875 0.750  0.00

Below is a relaxed structure of MgNbI6, with properties calculated at the GGA-PBE level.

Output
Total energy = -25.7 eV/cell

a b c (Å): 7.258 7.858 7.858
angles (deg): 124.99 99.56 99.56
Last column: magnetic moment on the atom in μB.
Sites, in units of the cell vectors:
Mg 0.500 0.500 0.500  0.01
Nb 0.000 0.000 0.000  0.91
I 0.750 0.608 0.893  -0.01
I 0.750 0.893 0.608  -0.01
I 0.250 0.107 0.392  -0.01
I 0.250 0.392 0.107  -0.01
I 0.770 0.231 0.231  -0.03
I 0.230 0.769 0.769  -0.03

Below is a relaxed structure of MgNb3I, with properties calculated at the GGA-PBE level.

Output
Total energy = -25.9 eV/cell
Polymorph energy (0 for the lowest one) = 0.0000 eV/atom

a b c (Å): 5.045 5.045 5.045
angles (deg): 90.00 90.00 90.00
Last column: magnetic moment on the atom in μB.
Sites, in units of the cell vectors:
I 0.000 0.000 0.000  0.05
Nb 0.000 0.500 0.000  0.47
Nb 0.000 0.000 0.500  0.58
Nb 0.500 0.000 0.000  0.37
Mg 0.500 0.500 0.500  -0.01

Below is a relaxed structure of MgNb2OsI, with properties calculated at the GGA-PBE level.

Output
Total energy = -26.1 eV/cell

a b c (Å): 5.002 4.857 5.002
angles (deg): 90.00 90.00 90.00
Sites, in units of the cell vectors:
I 0.000 0.000 0.000
Nb 0.000 0.000 0.500
Nb 0.500 0.000 0.000
Os 0.000 0.500 0.000
Mg 0.500 0.500 0.500

Below is a relaxed structure of Rb2MgNbI, with properties calculated at the GGA-PBE level.

Output
Total energy = -12.2 eV/cell

a b c (Å): 6.994 5.673 6.994
angles (deg): 90.00 90.00 90.00
Last column: magnetic moment on the atom in μB.
Sites, in units of the cell vectors:
I 0.500 0.500 0.500  0.03
Nb 0.000 0.000 0.000  3.21
Mg 0.000 0.500 0.000  0.03
Rb 0.000 0.000 0.500  0.05
Rb 0.500 0.000 0.000  0.05

Below is a relaxed structure of MgNbSbI2, with properties calculated at the GGA-PBE level.

Output
Total energy = -17.6 eV/cell
Polymorph energy (0 for the lowest one) = 0.0000 eV/atom

a b c (Å): 5.585 5.585 5.513
angles (deg): 90.00 90.00 90.00
Sites, in units of the cell vectors:
I 0.000 0.500 0.000
I 0.500 0.000 0.000
Sb 0.000 0.000 0.500
Nb 0.000 0.000 0.000
Mg 0.500 0.500 0.500

Taking the records one at a time from the top gives DOS(E_F) values of 0.912 1.532 1.203 0.263 1.393 0.934 0.266 0.948 states/eV/atom.
Taking the records one at a time from the top gives magnetic moment values of 2.600 0.000 1.481 1.001 1.693 0.000 5.329 0.015 μB per formula unit.
Taking the records one at a time from the top gives mass density values of 4.15 7.07 4.52 4.26 5.56 7.21 2.48 4.76 g cm⁻³.